A PBEsol-optimized structure of HgMoW2. Source: the Alexandria database, functional meta-GGA SCAN.

Values from the calculation:
Electronic total energy   -59.908 eV per atom
Space-group type   R-3m (166)
Formation energy from the elements   2.79 eV/f.u.

Lattice parameters (Å, degrees): 2.8177 2.8177 9.8217 81.75 81.75 60.00
Positions (direct):
W 0.2535 0.2535 0.2395
Hg 0.5000 0.5000 0.5000
Mo 0.0000 0.0000 0.0000
W 0.7465 0.7465 0.7605